1:
This record from Alexandria describes a geometry-optimized ScOs2Ru structure. The functional is PBE-GGA.

Magnetization (μB/atom): 0.0001
Theoretical density (g/cm³): 14.2
Symmetry: R-3m (166)

Structure (CIF):
```
data_ScOs2Ru
_chemical_formula_sum 'Sc1 Os2 Ru1'
_space_group_name_H-M_alt 'P 1'
_space_group_IT_number 1
_space_group_name_Hall 'P 1'
_cell_length_a 9.2818
_cell_length_b 9.2818
_cell_length_c 9.2818
_cell_angle_alpha 17.29
_cell_angle_beta 17.29
_cell_angle_gamma 17.29
loop_
_atom_site_label
_atom_site_type_symbol
_atom_site_fract_x
_atom_site_fract_y
_atom_site_fract_z
Sc1 Sc 0.0000 0.0000 0.0000
Os1 Os 0.2458 0.2458 0.2458
Os2 Os 0.7542 0.7542 0.7542
Ru1 Ru 0.5000 0.5000 0.5000
```

---

2:
This record from Alexandria describes a geometry-optimized ScOs2Ru structure. The functional is PBE-GGA.

Magnetization (μB/atom): 0.0000
Theoretical density (g/cm³): 14.1
Symmetry: P4/mmm (123)

Structure (CIF):
```
data_ScOs2Ru
_chemical_formula_sum 'Sc1 Os2 Ru1'
_space_group_name_H-M_alt 'P 1'
_space_group_IT_number 1
_space_group_name_Hall 'P 1'
_cell_length_a 2.7890
_cell_length_b 2.7890
_cell_length_c 7.9723
_cell_angle_alpha 90.00
_cell_angle_beta 90.00
_cell_angle_gamma 90.00
loop_
_atom_site_label
_atom_site_type_symbol
_atom_site_fract_x
_atom_site_fract_y
_atom_site_fract_z
Sc1 Sc 0.0000 0.0000 0.0000
Os1 Os 0.5000 0.5000 0.2714
Os2 Os 0.5000 0.5000 0.7286
Ru1 Ru 0.0000 0.0000 0.5000
```

---

3:
This record from Alexandria describes a geometry-optimized ScOs2Ru structure. The functional is PBE-GGA.

Magnetization (μB/atom): 0.0000
Theoretical density (g/cm³): 14.3
Symmetry: Cm (8)

Structure (CIF):
```
data_ScOs2Ru
_chemical_formula_sum 'Sc1 Os2 Ru1'
_space_group_name_H-M_alt 'P 1'
_space_group_IT_number 1
_space_group_name_Hall 'P 1'
_cell_length_a 5.2372
_cell_length_b 5.2372
_cell_length_c 4.8442
_cell_angle_alpha 115.93
_cell_angle_beta 115.93
_cell_angle_gamma 31.10
loop_
_atom_site_label
_atom_site_type_symbol
_atom_site_fract_x
_atom_site_fract_y
_atom_site_fract_z
Sc1 Sc 0.0000 0.0000 0.0000
Os1 Os 0.5046 0.5046 0.4800
Os2 Os 0.7674 0.7674 0.4120
Ru1 Ru 0.2375 0.2375 0.8908
```

---

Stability, lowest: 1